Version A
First-principles (GGA-PBEsol) data for crystalline ZrAg2Mo at its relaxed geometry, as listed in Alexandria via LeMat-Bulk.

- crystal system = trigonal
- space group = R-3m, No. 166
- DOS at the Fermi energy (states/eV per cell) = 3.591
- M_tot (μB per atom) = 0.00

Cell lengths 2.8158, 2.8158, 10.1175 Å; angles 82.00, 82.00, 60.00 degrees
Closest atoms and distances in Å follow each position.
Atoms (fractional coordinates):
Ag1 0.7533 0.7533 0.7402  6 Ag 2.82, 3 Mo 2.90, 3 Zr 3.06
Ag2 0.2467 0.2467 0.2598  6 Ag 2.82, 3 Mo 2.90, 3 Zr 3.06
Mo1 0.5000 0.5000 0.5000  6 Mo 2.82, 6 Ag 2.90
Zr1 0.0000 0.0000 0.0000  6 Zr 2.82, 6 Ag 3.06



Version B
First-principles (GGA-PBEsol) data for crystalline ZrAg2Mo at its relaxed geometry, as listed in Alexandria via LeMat-Bulk.

- crystal system = tetragonal
- space group = I-4m2, No. 119
- DOS at the Fermi energy (states/eV per cell) = 5.054
- M_tot (μB per atom) = 0.26

Cell lengths 4.0809, 4.0809, 5.0690 Å; angles 113.74, 113.74, 90.00 degrees
Closest atoms and distances in Å follow each position.
Atoms (fractional coordinates):
Mo1 0.5000 0.5000 0.0000  8 Ag 2.89-2.92, 4 Zr 2.92
Ag1 0.7500 0.2500 0.5000  4 Zr 2.89, 4 Ag 2.92, 4 Mo 2.92
Zr1 0.2500 0.7500 0.5000  8 Ag 2.89-2.92, 4 Mo 2.92
Ag2 0.0000 0.0000 0.0000  4 Mo 2.89, 4 Zr 2.92, 4 Ag 2.92



version A has the most favorable energy; the next structure is 7 meV per atom above.